# NiPdCl2 | Alexandria via LeMat-Bulk | PBE | optimized geometry
data_NiPdCl2
_cell_length_a 4.5202
_cell_length_b 4.5202
_cell_length_c 4.5202
_cell_angle_alpha 60.00
_cell_angle_beta 60.00
_cell_angle_gamma 60.00
_space_group_name_H-M_alt 'P 1'
_space_group_IT_number 1
loop_
_space_group_symop_operation_xyz
'x,y,z'
loop_
_atom_site_label
_atom_site_type_symbol
_atom_site_fract_x
_atom_site_fract_y
_atom_site_fract_z
_atom_site_occupancy
Ni1 Ni 0.0000 0.0000 0.0000 1
Pd1 Pd 0.5000 0.5000 0.5000 1
Cl1 Cl 0.2500 0.2500 0.2500 1
Cl2 Cl 0.7500 0.7500 0.7500 1
# distance to the lowest polymorph of the same formula: 317.6 meV per atom
# E_form (uncorrected): 1.221 eV per formula unit
# VASP energy: -3.362 eV per atom



# LiAg2AsO4 | Alexandria via LeMat-Bulk | PBE | optimized geometry
data_LiAg2AsO4
_cell_length_a 5.6486
_cell_length_b 5.6486
_cell_length_c 5.6486
_cell_angle_alpha 126.72
_cell_angle_beta 126.72
_cell_angle_gamma 78.70
_space_group_name_H-M_alt 'P 1'
_space_group_IT_number 1
loop_
_space_group_symop_operation_xyz
'x,y,z'
loop_
_atom_site_label
_atom_site_type_symbol
_atom_site_fract_x
_atom_site_fract_y
_atom_site_fract_z
_atom_site_occupancy
Li1 Li 0.0000 0.0000 0.0000 1
Ag1 Ag 0.2500 0.7500 0.5000 1
Ag2 Ag 0.5000 0.5000 0.0000 1
As1 As 0.7500 0.2500 0.5000 1
O1 O 0.0247 0.1366 0.4313 1
O2 O 0.4066 0.9753 0.1119 1
O3 O 0.7053 0.5934 0.5687 1
O4 O 0.8634 0.2947 0.8881 1
# E_form (uncorrected): -8.321 eV per formula unit
# VASP energy: -5.052 eV per atom



# Tb5Co2I2 | Alexandria via LeMat-Bulk | PBE | optimized geometry
data_Tb5Co2I2
_cell_length_a 9.1697
_cell_length_b 9.1697
_cell_length_c 7.6572
_cell_angle_alpha 90.00
_cell_angle_beta 90.00
_cell_angle_gamma 49.33
_space_group_name_H-M_alt 'P 1'
_space_group_IT_number 1
loop_
_space_group_symop_operation_xyz
'x,y,z'
loop_
_atom_site_label
_atom_site_type_symbol
_atom_site_fract_x
_atom_site_fract_y
_atom_site_fract_z
_atom_site_occupancy
Tb1 Tb 0.0000 0.0000 0.0000 1
Tb2 Tb 0.0508 0.7415 0.6553 1
Tb3 Tb 0.2415 0.5508 0.1553 1
Tb4 Tb 0.2585 0.9492 0.6553 1
Tb5 Tb 0.4492 0.7585 0.1553 1
Tb6 Tb 0.5000 0.5000 0.5000 1
Tb7 Tb 0.5508 0.2415 0.8447 1
Tb8 Tb 0.7415 0.0508 0.3447 1
Tb9 Tb 0.7585 0.4492 0.8447 1
Tb10 Tb 0.9492 0.2585 0.3447 1
Co1 Co 0.1416 0.8584 0.3605 1
Co2 Co 0.3584 0.6416 0.8605 1
Co3 Co 0.6416 0.3584 0.1395 1
Co4 Co 0.8584 0.1416 0.6395 1
I1 I 0.2136 0.2136 0.0000 1
I2 I 0.2864 0.2864 0.5000 1
I3 I 0.7136 0.7136 0.5000 1
I4 I 0.7864 0.7864 0.0000 1
# E_form (uncorrected): -4.402 eV per formula unit
# VASP energy: -4.985 eV per atom



# DyZrOs | Alexandria via LeMat-Bulk | PBE | optimized geometry
data_DyZrOs
_cell_length_a 4.6552
_cell_length_b 4.6552
_cell_length_c 4.6552
_cell_angle_alpha 60.00
_cell_angle_beta 60.00
_cell_angle_gamma 60.00
_space_group_name_H-M_alt 'P 1'
_space_group_IT_number 1
loop_
_space_group_symop_operation_xyz
'x,y,z'
loop_
_atom_site_label
_atom_site_type_symbol
_atom_site_fract_x
_atom_site_fract_y
_atom_site_fract_z
_atom_site_occupancy
Dy1 Dy 0.0000 0.0000 0.0000 1
Zr1 Zr 0.5000 0.5000 0.5000 1
Os1 Os 0.7500 0.7500 0.7500 1
# formation energy from the elements: -15 kJ per mole of atoms
# distance to the lowest polymorph of the same formula: 17.3 meV per atom
# VASP energy: -8.286 eV per atom



# ZrMn2Te4 | Alexandria via LeMat-Bulk | PBE | optimized geometry
data_ZrMn2Te4
_cell_length_a 7.5886
_cell_length_b 7.5886
_cell_length_c 7.1820
_cell_angle_alpha 118.00
_cell_angle_beta 118.00
_cell_angle_gamma 30.77
_space_group_name_H-M_alt 'P 1'
_space_group_IT_number 1
loop_
_space_group_symop_operation_xyz
'x,y,z'
loop_
_atom_site_label
_atom_site_type_symbol
_atom_site_fract_x
_atom_site_fract_y
_atom_site_fract_z
_atom_site_occupancy
Zr1 Zr 0.0000 0.0000 0.0000 1
Mn1 Mn 0.2488 0.2488 0.2803 1
Mn2 Mn 0.7512 0.7512 0.7197 1
Te1 Te 0.1204 0.1204 0.4628 1
Te2 Te 0.3649 0.3649 0.0372 1
Te3 Te 0.6351 0.6351 0.9628 1
Te4 Te 0.8796 0.8796 0.5372 1
# E_form (uncorrected): -2.963 eV per formula unit
# VASP energy: -6.060 eV per atom



# CaZrOs2 | Alexandria via LeMat-Bulk | PBE | optimized geometry
data_CaZrOs2
_cell_length_a 5.4182
_cell_length_b 5.4182
_cell_length_c 2.8603
_cell_angle_alpha 101.79
_cell_angle_beta 101.79
_cell_angle_gamma 112.81
_space_group_name_H-M_alt 'P 1'
_space_group_IT_number 1
loop_
_space_group_symop_operation_xyz
'x,y,z'
loop_
_atom_site_label
_atom_site_type_symbol
_atom_site_fract_x
_atom_site_fract_y
_atom_site_fract_z
_atom_site_occupancy
Ca1 Ca 0.0000 0.0000 0.0000 1
Zr1 Zr 0.5000 0.5000 0.0000 1
Os1 Os 0.0000 0.5000 0.5000 1
Os2 Os 0.5000 0.0000 0.5000 1
# formation energy from the elements: 39 kJ per mole of atoms
# VASP energy: -7.844 eV per atom



The lowest VASP energy belongs to which entry?
DyZrOs



Which value of VASP energy does entry 2 give?
-5.052 eV per atom